{"formula": "ScCdOs2", "functional": "SCAN", "state": "PBEsol geometry", "e_form_mev_per_atom": 376, "m_tot_mub_per_atom": 0.000, "dos_ef_per_ev_fu": 5.3, "lattice_angstrom": [[-2.2910, -0.5062, -1.5061], [-1.0985, -1.4048, 2.1432], [-3.4659, 7.1087, 2.8830]], "species": ["Os", "Os", "Cd", "Sc"], "frac_coords": [[0.0000, 0.0000, 0.7542], [0.0000, 0.0000, 0.2458], [0.5000, 0.5000, 0.5000], [0.5000, 0.5000, 0.0000]]}